## LiAgS3 (PBE)

Data for a geometry-optimized LiAgS3 structure.

Cell: 4.8656 4.8656 4.8656 Å, 90.00 90.00 90.00°
Fractional positions:
S  0.0000  0.5000  0.0000
S  0.0000  0.0000  0.5000
S  0.5000  0.0000  0.0000
Ag  0.0000  0.0000  0.0000
Li  0.5000  0.5000  0.5000

Output
DFT total energy	-15.2	eV/cell
total moment	0.0	μB/f.u.
energy relative to the lowest polymorph listed for this composition	0	meV/atom
uncorrected formation energy	0.395	eV/atom